Material: Rb3CuPb4
Method: DFT, PBE
State: optimized geometry

The magnetic moment comes out at 0.00 μB/f.u. The formation energy from the elements is -14 kJ/mol of atoms.

The structure belongs to space group Pmmn (No. 59, origin choice 2); the cell edges are 7.2335, 13.7770 and 6.7396 Å and the angles 90.00°, 90.00° and 90.00°. Symmetry generates all atoms from Rb at (0.2500, 0.0015, 0.1708), Rb at (0.2500, 0.2500, 0.5366), Cu at (0.2500, 0.7500, 0.3186), Pb at (0.0230, 0.7500, 0.9779) and Pb at (0.2500, 0.6333, 0.6615).